Entry 1:
NaSeO2F, relaxed, DFT PBE-GGA; raw formation energy = -1.117 eV per atom; SG = P4/mmm (123); theoretical density = 3.8 g/cm³; energy = -22.2 eV for the cell shown; density of states at the Fermi level = 0.5 states/eV/f.u.; calculated volume = 13.31 Å³ per atom
1.0
-2.015 -2.861 1.657
3.050 -0.859 2.225
-1.464 2.824 3.097
O F Se Na
2 1 1 1
Direct
0.000 0.500 0.000
0.500 0.000 0.000
0.000 0.000 0.500
0.000 0.000 0.000
0.500 0.500 0.500

***

Entry 2:
NaSeOF2, relaxed, DFT PBE-GGA; raw formation energy = -0.371 eV per atom; SG = P4/mmm (123); theoretical density = 3.9 g/cm³; energy = -15.4 eV for the cell shown; relative energy among the computed polymorphs = 964 meV/atom; density of states at the Fermi level = 4.9 states/eV/f.u.; calculated volume = 13.43 Å³ per atom
1.0
-3.489 1.751 -0.353
-1.649 -3.456 -0.836
-0.765 -0.665 4.253
F Na O Se
2 1 1 1
Direct
0.500 0.000 0.000
0.000 0.500 0.000
0.000 0.000 0.000
0.000 0.000 0.500
0.500 0.500 0.500

***

Entry 3:
Na5SeO4F2, relaxed, DFT PBE-GGA; raw formation energy = -1.728 eV per atom; SG = Amm2 (38); theoretical density = 2.8 g/cm³; energy = -54.4 eV for the cell shown; density of states at the Fermi level = 2.1 states/eV/f.u.; calculated volume = 14.84 Å³ per atom
1.0
5.593 0.000 0.000
-2.797 4.790 0.000
0.000 0.000 6.645
O Na F Se
4 5 2 1
Direct
0.613 0.000 0.788
0.388 0.316 0.000
0.072 0.684 0.000
0.613 0.000 0.212
0.082 0.375 0.247
0.082 0.375 0.753
0.708 0.625 0.753
0.708 0.625 0.247
0.390 0.000 0.500
0.975 0.615 0.500
0.360 0.385 0.500
0.415 0.000 0.000

***

Entry 4:
NaSeOF2, relaxed, DFT PBE-GGA; raw formation energy = -1.335 eV per atom; SG = P4/mmm (123); theoretical density = 3.3 g/cm³; energy = -20.2 eV for the cell shown; relative energy among the computed polymorphs = 0 meV/atom; density of states at the Fermi level = 1.1 states/eV/f.u.; calculated volume = 15.72 Å³ per atom
1.0
-1.733 -4.058 -1.123
2.530 -1.974 3.230
-2.804 0.504 2.504
Na Se O F
1 1 1 2
Direct
0.500 0.500 0.500
0.000 0.000 0.000
0.000 0.000 0.500
0.000 0.500 0.000
0.500 0.000 0.000

***

Entry 5:
NaSiO2F, relaxed, DFT PBE-GGA; raw formation energy = -0.049 eV per atom; SG = P4/mmm (123); theoretical density = 2.5 g/cm³; energy = -18.8 eV for the cell shown; density of states at the Fermi level = 2.7 states/eV/f.u.; calculated volume = 13.45 Å³ per atom
1.0
4.101 0.000 0.000
0.000 4.101 0.000
0.000 0.000 3.997
O F Si Na
2 1 1 1
Direct
0.000 0.500 0.000
0.500 0.000 0.000
0.000 0.000 0.500
0.500 0.500 0.500
0.000 0.000 0.000

***

Entry 6:
NaSiO2F, relaxed, DFT PBE-GGA; raw formation energy = -2.366 eV per atom; SG = P4/mmm (123); theoretical density = 3.6 g/cm³; energy = -30.4 eV for the cell shown; density of states at the Fermi level = 0.0 states/eV/f.u.; calculated volume = 9.40 Å³ per atom
1.0
-1.899 2.607 1.237
-2.851 -1.464 -1.290
-0.513 -1.971 3.369
O F Na Si
2 1 1 1
Direct
0.000 0.500 0.000
0.500 0.000 0.000
0.000 0.000 0.500
0.500 0.500 0.500
0.000 0.000 0.000

***

Question: Among the records above, which one has the highest calculated volume?
Answer: number 4